[1]
TbUPb2S6 PBE-GGA relaxed; volume = 273.9 Å³ per cell; formation energy without anion corrections = -1.155 eV/atom; E = -5.97 eV per atom
1.0
3.594 2.075 6.122
-3.594 2.075 6.122
0.000 -4.150 6.122
Tb U Pb S
1 1 2 6
Direct
0.000 0.000 0.000
0.497 0.497 0.497
0.292 0.292 0.292
0.795 0.795 0.795
0.146 0.718 0.362
0.235 0.639 0.843
0.362 0.146 0.718
0.639 0.843 0.235
0.718 0.362 0.146
0.843 0.235 0.639

[2]
TbYPbS PBE-GGA relaxed; volume = 102.8 Å³ per cell; formation energy without anion corrections = -1.234 eV/atom; E = -5.97 eV per atom
1.0
3.813 0.000 0.000
1.893 3.312 0.000
1.894 1.097 8.140
Tb Y Pb S
1 1 1 1
Direct
0.000 0.000 0.000
0.203 0.201 0.392
0.436 0.432 0.698
0.602 0.601 0.195

[3]
TcPb2S PBE-GGA relaxed; volume = 250.6 Å³ per cell; formation energy without anion corrections = 0.778 eV/atom; E = -4.70 eV per atom
1.0
-3.160 3.160 6.274
3.160 -3.160 6.274
3.160 3.160 -6.274
Tc Pb S
2 4 2
Direct
0.000 0.000 0.000
0.750 0.250 0.500
0.105 0.625 0.980
0.375 0.355 0.480
0.645 0.125 0.020
0.875 0.895 0.520
0.250 0.750 0.500
0.500 0.500 0.000

[4]
TcPb3S PBE-GGA relaxed; volume = 160.4 Å³ per cell; formation energy without anion corrections = 0.954 eV/atom; energy above the most stable polymorph in this dataset = 619 meV per atom; E = -4.17 eV per atom
1.0
5.434 0.000 0.000
0.000 5.434 0.000
0.000 0.000 5.434
Tc Pb S
1 3 1
Direct
0.000 0.000 0.000
0.000 0.500 0.500
0.500 0.000 0.500
0.500 0.500 0.000
0.500 0.500 0.500

[5]
TcPb3S PBE-GGA relaxed; volume = 145.6 Å³ per cell; formation energy without anion corrections = 0.335 eV/atom; energy above the most stable polymorph in this dataset = 0 meV per atom; E = -4.79 eV per atom
1.0
5.260 0.000 0.000
0.000 5.260 0.000
0.000 0.000 5.260
Tc Pb S
1 3 1
Direct
0.000 0.000 0.000
0.000 0.000 0.500
0.000 0.500 0.000
0.500 0.000 0.000
0.500 0.500 0.500

[6]
Tl2TcPbS PBE-GGA relaxed; volume = 187.5 Å³ per cell; formation energy without anion corrections = 1.216 eV/atom; E = -3.37 eV per atom
1.0
5.918 0.000 0.000
0.000 5.918 0.000
0.000 0.000 5.353
Tl Tc Pb S
2 1 1 1
Direct
0.000 0.500 0.000
0.500 0.000 0.000
0.000 0.000 0.500
0.000 0.000 0.000
0.500 0.500 0.500